1.
Computed, not measured: a PBEsol-optimized structure of Na2Ca3Ta2O9 at the SCAN level of DFT.

Output
energy relative to the elements, uncorrected	-47.4	eV/f.u.
crystal system	trigonal

Unit cell a=8.715 b=8.715 c=8.715 alpha=37.74 beta=37.74 gamma=37.74
Sites, in units of the cell vectors:
Na (0.198, 0.198, 0.198)
Na (0.802, 0.802, 0.802)
Ca (0.372, 0.372, 0.372)
Ca (0.500, 0.500, 0.500)
Ca (0.628, 0.628, 0.628)
Ta (0.064, 0.064, 0.064)
Ta (0.936, 0.936, 0.936)
O (0.000, 0.259, 0.741)
O (0.195, 0.337, 0.785)
O (0.215, 0.663, 0.805)
O (0.259, 0.741, 0.000)
O (0.337, 0.785, 0.195)
O (0.663, 0.805, 0.215)
O (0.741, 0.000, 0.259)
O (0.785, 0.195, 0.337)
O (0.805, 0.215, 0.663)

---

2.
Computed, not measured: a PBEsol-optimized structure of NaCaVO4 at the SCAN level of DFT.

Output
energy relative to the elements, uncorrected	-19.4	eV/f.u.
crystal system	orthorhombic

Unit cell a=5.514 b=5.514 c=7.051 alpha=90.00 beta=90.00 gamma=115.03
Sites, in units of the cell vectors:
Na (0.000, 0.000, 0.000)
Na (0.000, 0.000, 0.500)
Ca (0.323, 0.677, 0.750)
Ca (0.677, 0.323, 0.250)
V (0.355, 0.645, 0.250)
V (0.645, 0.355, 0.750)
O (0.242, 0.303, 0.250)
O (0.248, 0.752, 0.053)
O (0.248, 0.752, 0.447)
O (0.303, 0.242, 0.750)
O (0.697, 0.758, 0.250)
O (0.752, 0.248, 0.553)
O (0.752, 0.248, 0.947)
O (0.758, 0.697, 0.750)

---

3.
Computed, not measured: a PBEsol-optimized structure of NaCaOsW2 at the SCAN level of DFT.

Output
ΔH_f (0 K)	16.88	eV per formula unit
crystal system	tetragonal

Unit cell a=4.662 b=4.662 c=4.678 alpha=90.00 beta=90.00 gamma=90.00
Sites, in units of the cell vectors:
Na (0.000, 0.000, 0.000)
Ca (0.500, 0.500, 0.500)
Os (0.500, 0.500, 0.000)
W (0.000, 0.500, 0.500)
W (0.500, 0.000, 0.500)

---

4.
Computed, not measured: a PBEsol-optimized structure of NaCa3P at the SCAN level of DFT.

Output
ΔH_f (0 K)	-2.83	eV per formula unit
crystal system	monoclinic

Unit cell a=10.416 b=10.416 c=7.064 alpha=104.10 beta=104.10 gamma=96.63
Sites, in units of the cell vectors:
Na (0.065, 0.190, 0.483)
Na (0.190, 0.065, 0.983)
Na (0.810, 0.935, 0.017)
Na (0.935, 0.810, 0.517)
Ca (0.053, 0.694, 0.002)
Ca (0.184, 0.572, 0.493)
Ca (0.306, 0.947, 0.498)
Ca (0.317, 0.448, 0.996)
Ca (0.428, 0.816, 0.007)
Ca (0.448, 0.317, 0.496)
Ca (0.552, 0.683, 0.504)
Ca (0.572, 0.184, 0.993)
Ca (0.683, 0.552, 0.004)
Ca (0.694, 0.053, 0.502)
Ca (0.816, 0.428, 0.507)
Ca (0.947, 0.306, 0.998)
P (0.301, 0.699, 0.250)
P (0.432, 0.568, 0.750)
P (0.568, 0.432, 0.250)
P (0.699, 0.301, 0.750)